Mg2TlFeCl8: optimized geometry, PBE-GGA.

Unit cell a=6.255 b=6.008 c=7.908 alpha=90.01 beta=90.00 gamma=87.94
Last column: magnetic moment on the atom in μB.
Sites, in units of the cell vectors:
Cl: 0.176 0.772 0.791  0.11
Tl: 0.000 0.000 0.500  0.07
Cl: 0.355 0.301 0.500  0.01
Fe: 0.000 0.000 0.000  3.68
Cl: 0.824 0.228 0.791  0.11
Cl: 0.176 0.772 0.209  0.11
Cl: 0.674 0.723 0.000  0.06
Cl: 0.645 0.699 0.500  0.01
Mg: 0.500 0.500 0.241  0.00
Cl: 0.326 0.277 0.000  0.06
Mg: 0.500 0.500 0.759  0.00
Cl: 0.824 0.228 0.209  0.11

Output
Energy relative to the elements, uncorrected   -1.226 eV/atom
Fermi-level density of states   5.04 states/eV/cell



CsSnHgSe3: optimized geometry, PBE-GGA.

Unit cell a=7.608 b=7.608 c=9.296 alpha=66.53 beta=66.53 gamma=74.31
Sites, in units of the cell vectors:
Se: 0.713 0.713 0.398
Cs: 0.687 0.687 0.801
Se: 0.705 0.170 0.803
Sn: 0.054 0.054 0.820
Se: 0.830 0.295 0.197
Se: 0.287 0.287 0.602
Se: 0.295 0.830 0.197
Sn: 0.946 0.946 0.180
Hg: 0.727 0.273 0.500
Cs: 0.313 0.313 0.199
Se: 0.170 0.705 0.803
Hg: 0.273 0.727 0.500

Output
Energy relative to the elements, uncorrected   -0.557 eV/atom



Li3SiO4: optimized geometry, PBE-GGA.

Unit cell a=5.309 b=5.309 c=6.194 alpha=90.00 beta=90.00 gamma=90.53
Last column: magnetic moment on the atom in μB.
Sites, in units of the cell vectors:
Li: 0.825 0.825 0.500  0.00
O: 0.285 0.373 0.250  0.28
O: 0.196 0.804 0.469  0.15
Si: 0.683 0.317 0.750  -0.01
O: 0.627 0.715 0.250  0.28
O: 0.373 0.285 0.750  0.28
Li: 0.175 0.175 0.000  0.00
Li: 0.175 0.175 0.500  0.00
O: 0.196 0.804 0.031  0.15
Li: 0.825 0.825 0.000  0.00
Li: 0.686 0.314 0.250  0.00
Li: 0.314 0.686 0.750  0.00
O: 0.804 0.196 0.531  0.15
Si: 0.317 0.683 0.250  -0.01
O: 0.804 0.196 0.969  0.15
O: 0.715 0.627 0.750  0.28

Output
Energy relative to the elements, uncorrected   -2.175 eV/atom
Fermi-level density of states   9.25 states/eV/cell



Pr4TlHgAu2: optimized geometry, PBE-GGA.

Unit cell a=5.407 b=5.407 c=9.374 alpha=73.24 beta=73.24 gamma=60.00
Last column: magnetic moment on the atom in μB.
Sites, in units of the cell vectors:
Pr: 0.377 0.377 0.868  0.08
Hg: 0.500 0.500 0.500  0.01
Pr: 0.623 0.623 0.132  0.08
Pr: 0.127 0.127 0.618  0.12
Au: 0.253 0.253 0.240  0.01
Tl: 0.000 0.000 0.000  0.00
Au: 0.747 0.747 0.760  0.01
Pr: 0.873 0.873 0.382  0.12

Output
Fermi-level density of states   8.41 states/eV/cell
ΔE_f   -0.553 eV/atom



BeSiF3: optimized geometry, PBE-GGA.

Unit cell a=3.734 b=3.734 c=3.734 alpha=90.00 beta=90.00 gamma=90.00
Sites, in units of the cell vectors:
F: 0.500 0.000 0.000
F: 0.000 0.500 0.000
Be: 0.000 0.000 0.000
Si: 0.500 0.500 0.500
F: 0.000 0.000 0.500

Output
Energy relative to the elements, uncorrected   -1.590 eV/atom
Fermi-level density of states   2.18 states/eV/cell
Relative energy among the computed polymorphs   0.000 eV per atom



Pt2AuBr: optimized geometry, PBE-GGA.

Unit cell a=7.961 b=7.961 c=7.961 alpha=24.25 beta=24.25 gamma=24.25
Sites, in units of the cell vectors:
Au: 0.250 0.250 0.250
Pt: 0.999 0.999 0.999
Br: 0.750 0.750 0.750
Pt: 0.501 0.501 0.501

Output
Energy relative to the elements, uncorrected   0.413 eV/atom
Fermi-level density of states   3.24 states/eV/cell
Relative energy among the computed polymorphs   0.154 eV per atom



Ca2MnGeRh: optimized geometry, PBE-GGA.

Unit cell a=5.322 b=4.827 c=5.322 alpha=90.00 beta=90.00 gamma=90.00
Last column: magnetic moment on the atom in μB.
Sites, in units of the cell vectors:
Ca: 0.500 0.000 0.000  -0.02
Mn: 0.000 0.500 0.000  4.10
Rh: 0.000 0.000 0.000  0.19
Ge: 0.500 0.500 0.500  -0.24
Ca: 0.000 0.000 0.500  -0.02

Output
Fermi-level density of states   3.02 states/eV/cell
ΔE_f   0.174 eV/atom



PrY2AlAu4: optimized geometry, PBE-GGA.

Unit cell a=4.972 b=4.972 c=9.018 alpha=74.00 beta=74.00 gamma=60.00
Sites, in units of the cell vectors:
Y: 0.239 0.239 0.283
Al: 0.500 0.500 0.500
Au: 0.878 0.878 0.366
Pr: 0.000 0.000 0.000
Au: 0.393 0.393 0.822
Y: 0.761 0.761 0.717
Au: 0.607 0.607 0.178
Au: 0.122 0.122 0.634

Output
Fermi-level density of states   4.13 states/eV/cell
ΔE_f   -0.729 eV/atom



Record-wise calculated total energy values, in eV/f.u.: -43.5, -19.0, -48.4, -32.8, -22.7, -15.4, -24.3, -40.4
Record-wise density values, in g cm⁻³: 3.3, 5.1, 2.1, 10.1, 3.0, 14.8, 3.8, 10.3